(1)
Density functional theory data (GGA-PBE) for Nd2Y4Tm5 after structural relaxation.

Unit cell a=3.500 b=9.001 c=23.213 alpha=90.00 beta=90.00 gamma=90.00
Space group Immm (No. 71)
One atom of each set of equivalent atoms:
Nd  0.000  0.000  0.234 (multiplicity 4)
Y  0.000  0.000  0.099 (multiplicity 4)
Y  0.000  0.309  0.500 (multiplicity 4)
Tm  0.000  0.192  0.360 (multiplicity 8)
Tm  0.000  0.500  0.000 (multiplicity 2)

* distance to the lowest polymorph of the same formula: 185.9 meV/atom
* magnetic moment: 0.00 μB per formula unit



(2)
Density functional theory data (GGA-PBE) for Zr5Tl2Sn after structural relaxation.

Unit cell a=7.635 b=7.635 c=12.774 alpha=90.00 beta=90.00 gamma=90.00
Space group I4/mcm (No. 140)
One atom of each set of equivalent atoms:
Zr  0.000  0.000  0.000 (multiplicity 4)
Zr  0.154  0.346  0.161 (multiplicity 16)
Tl  0.144  0.356  0.500 (multiplicity 8)
Sn  0.000  0.000  0.250 (multiplicity 4)

* electronic total energy: -6.6187 eV per atom
* magnetic moment: 0.00 μB per formula unit



(3)
Density functional theory data (GGA-PBE) for HfTl2As after structural relaxation.

Unit cell a=7.306 b=7.306 c=7.306 alpha=90.00 beta=90.00 gamma=90.00
Space group Fm-3m (No. 225)
One atom of each set of equivalent atoms:
Hf  0.000  0.000  0.000 (multiplicity 4)
Tl  0.250  0.250  0.250 (multiplicity 8)
As  0.000  0.000  0.500 (multiplicity 4)

* distance to the lowest polymorph of the same formula: 190.6 meV/atom
* magnetic moment: 0.00 μB per formula unit



(4)
Density functional theory data (GGA-PBE) for La2DyHoTm after structural relaxation.

Unit cell a=6.484 b=16.494 c=6.483 alpha=90.00 beta=90.00 gamma=90.00
Space group Cmcm (No. 63)
One atom of each set of equivalent atoms:
La  0.250  0.000  0.000 (multiplicity 8)
Dy  0.000  0.158  0.250 (multiplicity 4)
Ho  0.000  0.342  0.250 (multiplicity 4)
Tm  0.000  0.250  0.750 (multiplicity 4)

* electronic total energy: -4.3254 eV per atom
* magnetic moment: 0.00 μB per formula unit



(5)
Density functional theory data (GGA-PBE) for Li3AsS4 after structural relaxation.

Unit cell a=7.894 b=6.753 c=6.336 alpha=90.00 beta=90.00 gamma=90.00
Space group Pmn2_1 (No. 31)
One atom of each set of equivalent atoms:
Li  0.000  0.147  0.000 (multiplicity 2)
Li  0.244  0.319  0.490 (multiplicity 4)
As  0.000  0.821  0.489 (multiplicity 2)
S  0.000  0.127  0.606 (multiplicity 2)
S  0.000  0.812  0.142 (multiplicity 2)
S  0.228  0.669  0.603 (multiplicity 4)

* magnetic moment: 0.00 μB per formula unit
* formation energy from raw total energies: -819 meV/atom



(6)
Density functional theory data (GGA-PBE) for Li2MgPt2 after structural relaxation.

Unit cell a=9.704 b=4.539 c=7.201 alpha=90.00 beta=110.22 gamma=90.00
Space group C2/c (No. 15)
One atom of each set of equivalent atoms:
Li  0.196  0.187  0.156 (multiplicity 8)
Mg  0.000  0.182  0.750 (multiplicity 4)
Pt  0.108  0.322  0.461 (multiplicity 8)

* distance to the lowest polymorph of the same formula: 0.0 meV/atom
* magnetic moment: 0.00 μB per formula unit



(7)
Density functional theory data (GGA-PBE) for Be2ZnCu after structural relaxation.

Unit cell a=2.709 b=2.709 c=5.690 alpha=90.00 beta=90.00 gamma=90.00
Space group P4mm (No. 99)
One atom of each set of equivalent atoms:
Be  0.000  0.000  0.000 (multiplicity 1)
Be  0.500  0.500  0.202 (multiplicity 1)
Zn  0.500  0.500  0.732 (multiplicity 1)
Cu  0.000  0.000  0.424 (multiplicity 1)

* electronic total energy: -3.1876 eV per atom
* magnetic moment: 0.00 μB per formula unit



(8)
Density functional theory data (GGA-PBE) for Ac2ErSc after structural relaxation.

Unit cell a=5.540 b=5.540 c=4.625 alpha=90.00 beta=90.00 gamma=90.00
Space group P4/mmm (No. 123)
One atom of each set of equivalent atoms:
Ac  0.000  0.500  0.000 (multiplicity 2)
Er  0.000  0.000  0.500 (multiplicity 1)
Sc  0.500  0.500  0.500 (multiplicity 1)

* distance to the lowest polymorph of the same formula: 9.6 meV/atom
* magnetic moment: 0.00 μB per formula unit



(9)
Density functional theory data (GGA-PBE) for NaPuPb2 after structural relaxation.

Unit cell a=5.783 b=5.783 c=3.416 alpha=90.00 beta=90.00 gamma=90.00
Space group P4/mmm (No. 123)
One atom of each set of equivalent atoms:
Na  0.000  0.000  0.000 (multiplicity 1)
Pu  0.500  0.500  0.000 (multiplicity 1)
Pb  0.000  0.500  0.500 (multiplicity 2)

* distance to the lowest polymorph of the same formula: 21.1 meV/atom
* magnetic moment: 5.73 μB per formula unit



(10)
Density functional theory data (GGA-PBE) for AcGdCdIn after structural relaxation.

Unit cell a=7.914 b=7.914 c=7.914 alpha=90.00 beta=90.00 gamma=90.00
Space group F-43m (No. 216)
One atom of each set of equivalent atoms:
Ac  0.000  0.000  0.000 (multiplicity 4)
Gd  0.000  0.000  0.500 (multiplicity 4)
Cd  0.250  0.250  0.750 (multiplicity 4)
In  0.250  0.250  0.250 (multiplicity 4)

* electronic total energy: -5.8305 eV per atom
* magnetic moment: 7.98 μB per formula unit



(11)
Density functional theory data (GGA-PBE) for BaNiS after structural relaxation.

Unit cell a=9.635 b=4.004 c=7.501 alpha=90.00 beta=90.00 gamma=90.00
Space group Pnma (No. 62)
One atom of each set of equivalent atoms:
Ba  0.192  0.250  0.020 (multiplicity 4)
Ni  0.020  0.250  0.399 (multiplicity 4)
S  0.038  0.750  0.281 (multiplicity 4)

* magnetic moment: 0.00 μB per formula unit
* formation energy from raw total energies: -937 meV/atom



(12)
Density functional theory data (GGA-PBE) for RbLaFe2S after structural relaxation.

Unit cell a=4.337 b=4.337 c=5.500 alpha=90.00 beta=90.00 gamma=90.00
Space group P4/mmm (No. 123)
One atom of each set of equivalent atoms:
Rb  0.000  0.000  0.000 (multiplicity 1)
La  0.500  0.500  0.000 (multiplicity 1)
Fe  0.000  0.500  0.500 (multiplicity 2)
S  0.500  0.500  0.500 (multiplicity 1)

* magnetic moment: 0.00 μB per formula unit
* formation energy from raw total energies: 544 meV/atom